1.
GGA-PBE DyBNO, optimized geometry; energy relative to the lowest polymorph listed for this composition = 0 meV per atom
1.0
3.4415 -3.4773 0.0000
3.4415 3.4773 0.0000
-1.7115 0.0000 4.0221
Dy B N O
2 2 2 2
Cartesian
3.4415 1.8087 0.0000
3.4415 -1.8087 0.0000
0.1677 0.0000 2.1810
5.0757 0.0000 1.1618
0.1569 0.0000 3.5109
3.2577 0.0000 3.7504
1.5521 2.1941 1.7700
1.5521 -2.1941 1.7700

---

2.
GGA-PBE DyBNO, optimized geometry; energy relative to the lowest polymorph listed for this composition = 734 meV per atom
1.0
4.7299 0.0000 0.0000
0.0000 4.7299 0.0000
0.0000 0.0000 4.4331
Dy B N O
2 2 2 2
Cartesian
1.1825 3.5474 0.0000
3.5474 1.1825 0.0000
1.1825 1.1825 1.8389
3.5474 3.5474 2.5942
1.1825 1.1825 0.4718
3.5474 3.5474 3.9614
1.1825 3.5474 2.2166
3.5474 1.1825 2.2166

---

3.
GGA-PBE DyBNO, optimized geometry; energy relative to the lowest polymorph listed for this composition = 91 meV per atom
1.0
2.7876 0.0000 0.0000
0.0000 5.4135 0.0000
0.0000 0.0000 5.5922
Dy B N O
2 2 2 2
Cartesian
0.0000 1.2036 0.0000
0.0000 4.2099 2.7961
1.3938 1.5851 2.7310
1.3938 3.8284 5.5270
0.0000 1.9485 2.2080
0.0000 3.4650 5.0041
1.3938 0.5641 3.7559
1.3938 4.8494 0.9599

---

4.
GGA-PBE DyBNO, optimized geometry; energy relative to the lowest polymorph listed for this composition = 118 meV per atom
1.0
7.2335 0.0000 0.0000
0.0000 5.1106 0.0000
0.0000 0.0000 5.0616
Dy B N O
4 4 4 4
Cartesian
1.0993 0.0278 1.2654
1.0993 2.5275 3.7962
6.1342 2.5831 1.2654
6.1342 5.0828 3.7962
2.6920 2.6641 1.2654
2.6920 5.0018 3.7962
4.5415 0.1088 1.2654
4.5415 2.4465 3.7962
1.3286 2.5917 1.2654
1.3286 5.0742 3.7962
5.9049 0.0364 1.2654
5.9049 2.5189 3.7962
3.2874 0.3326 1.2654
3.2874 2.2227 3.7962
3.9461 2.8879 1.2654
3.9461 4.7780 3.7962

---

5.
GGA-PBE Sm2DyB2Pd2N3, optimized geometry; calculated total energy = -7.411 eV/atom
1.0
-1.8432 1.8432 10.1981
1.8432 -1.8432 10.1981
1.8432 1.8432 -10.1981
Sm Dy B Pd N
2 1 2 2 3
Cartesian
0.0000 0.0000 2.4345
0.0000 0.0000 17.9617
0.0000 0.0000 10.1981
0.0000 0.0000 6.4327
0.0000 0.0000 13.9635
1.8432 0.0000 5.0991
0.0000 1.8432 5.0991
0.0000 0.0000 0.0000
0.0000 0.0000 7.8636
0.0000 0.0000 12.5327

---

6.
GGA-PBE Tb2DyB2Pd2N3, optimized geometry; calculated total energy = -7.422 eV/atom
1.0
-1.8236 1.8236 10.1486
1.8236 -1.8236 10.1486
1.8236 1.8236 -10.1486
Tb Dy B Pd N
2 1 2 2 3
Cartesian
0.0000 0.0000 2.4097
0.0000 0.0000 17.8874
0.0000 0.0000 10.1486
0.0000 0.0000 6.4039
0.0000 0.0000 13.8932
1.8236 0.0000 5.0743
0.0000 1.8236 5.0743
0.0000 0.0000 0.0000
0.0000 0.0000 7.8349
0.0000 0.0000 12.4622

---

7.
GGA-PBE DyTmB2Pd2N2, optimized geometry; calculated total energy = -7.230 eV/atom
1.0
3.6840 0.0000 0.0000
0.0000 3.6840 0.0000
0.0000 0.0000 7.5832
Dy Tm B Pd N
1 1 2 2 2
Cartesian
0.0000 0.0000 0.0000
1.8420 1.8420 2.4582
0.0000 0.0000 3.6992
1.8420 1.8420 6.3604
0.0000 1.8420 5.0162
1.8420 0.0000 5.0162
0.0000 0.0000 2.2725
1.8420 1.8420 0.2092

---

8.
GGA-PBE DyYB2Pd2N2, optimized geometry; calculated total energy = -7.478 eV/atom
1.0
3.7019 0.0000 0.0000
0.0000 3.7019 0.0000
0.0000 0.0000 7.6217
Dy Y B Pd N
1 1 2 2 2
Cartesian
0.0000 0.0000 0.0000
1.8510 1.8510 2.4708
0.0000 0.0000 3.7199
1.8510 1.8510 6.3716
0.0000 1.8510 5.0484
1.8510 0.0000 5.0484
0.0000 0.0000 2.2917
1.8510 1.8510 0.1780